Entry 1:
## TlIn2Mo (PBE)

Data for an optimized crystal structure of TlIn2Mo.

a b c (Å): 5.554 5.554 5.554
angles (deg): 134.92 134.88 65.69
Last column: magnetic moment on the atom in μB.
Positions (direct):
In (0.000, 0.000, 0.000)  -0.03
In (0.500, 0.500, 0.000)  -0.03
Mo (0.750, 0.250, 0.500)  0.92
Tl (0.250, 0.750, 0.500)  -0.01

Computed properties:
The symmetry is No. 139. The crystal system is tetragonal. The calculation puts the distance to the lowest polymorph of the same formula at 0.1043 eV/atom. The total magnetization is 0.24 μB per atom. The value obtained for the density of states at the Fermi level is 0.95 states/eV/cell. The formation energy is 1.85 eV/f.u.


Entry 2:
## TlIn2Mo (PBE)

Data for an optimized crystal structure of TlIn2Mo.

a b c (Å): 10.838 10.838 10.838
angles (deg): 16.69 16.69 16.69
Positions (direct):
In (0.989, 0.989, 0.989)
In (0.511, 0.511, 0.511)
Mo (0.250, 0.250, 0.250)
Tl (0.750, 0.750, 0.750)

Computed properties:
The symmetry is No. 166. The crystal system is trigonal. The calculation puts the distance to the lowest polymorph of the same formula at 0.0311 eV/atom. The total magnetization is 0.00 μB per atom. The value obtained for the density of states at the Fermi level is 3.09 states/eV/cell. The formation energy is 1.56 eV/f.u.


Entry 3:
## TlIn2Mo (PBE)

Data for an optimized crystal structure of TlIn2Mo.

a b c (Å): 3.077 3.077 9.643
angles (deg): 90.00 90.00 89.72
Last column: magnetic moment on the atom in μB.
Positions (direct):
In (0.000, 0.000, 0.008)  0.00
In (0.500, 0.500, 0.283)  0.00
Mo (0.000, 0.000, 0.491)  0.22
Tl (0.500, 0.500, 0.718)  0.00

Computed properties:
The symmetry is No. 35. The crystal system is orthorhombic. The calculation puts the distance to the lowest polymorph of the same formula at 0.1024 eV/atom. The total magnetization is 0.06 μB per atom. The value obtained for the density of states at the Fermi level is 2.54 states/eV/cell. The formation energy is 1.85 eV/f.u.


Entry 4:
## TlIn2Mo (PBE)

Data for an optimized crystal structure of TlIn2Mo.

a b c (Å): 3.107 5.294 5.354
angles (deg): 90.00 90.00 90.00
Positions (direct):
In (0.000, 0.000, 0.000)
In (0.500, 0.500, 0.000)
Mo (0.500, 0.000, 0.500)
Tl (0.000, 0.500, 0.500)

Computed properties:
The symmetry is No. 47. The crystal system is orthorhombic. The calculation puts the distance to the lowest polymorph of the same formula at 0.2266 eV/atom. The total magnetization is 0.00 μB per atom. The value obtained for the density of states at the Fermi level is 2.93 states/eV/cell. The formation energy is 2.34 eV/f.u.